Computed, not measured: crystalline CeCo4B4 at its relaxed geometry at the PBE-GGA level of DFT.

POSCAR file:
```
CeCo4B4
1.0
5.041 0.000 0.000
0.000 5.041 0.000
0.000 0.000 7.030
Ce Co B
2 8 8
direct
0.500 0.500 0.000
0.000 0.000 0.500
0.748 0.500 0.636
0.252 0.500 0.636
0.500 0.748 0.364
0.752 0.000 0.864
0.248 0.000 0.864
0.000 0.752 0.136
0.000 0.248 0.136
0.500 0.252 0.364
0.500 0.827 0.660
0.673 0.000 0.160
0.327 0.000 0.160
0.000 0.673 0.840
0.000 0.327 0.840
0.500 0.173 0.660
0.827 0.500 0.340
0.173 0.500 0.340
```

Output
Its total energy is -7.26 eV per atom. The theoretical density is 7.790 g/cm³. Its space-group type is P4_2/nmc.

=====

Computed, not measured: crystalline CeCoB at its relaxed geometry at the PBE-GGA level of DFT.

POSCAR file:
```
CeCoB
1.0
-2.048 -1.696 1.688
0.095 -3.618 -3.521
7.699 -4.494 4.825
Ce B Co
4 4 4
direct
0.250 0.250 0.950
0.750 0.250 0.450
0.750 0.750 0.050
0.250 0.750 0.550
0.750 0.750 0.323
0.750 0.250 0.177
0.250 0.750 0.823
0.250 0.250 0.677
0.250 0.500 0.250
0.250 0.000 0.250
0.750 0.500 0.750
0.750 0.000 0.750
```

Output
Its total energy is -6.86 eV per atom. The theoretical density is 8.649 g/cm³. Its space-group type is Cmcm.

=====

Computed, not measured: crystalline CeCo4B4 at its relaxed geometry at the PBE-GGA level of DFT.

POSCAR file:
```
CeCo4B4
1.0
-0.515 1.923 -3.247
-6.009 -3.439 -1.084
-3.479 4.976 3.499
Ce Co B
2 8 8
direct
0.000 0.000 0.000
0.500 0.500 0.500
0.393 0.358 0.881
0.893 0.619 0.858
0.393 0.642 0.119
0.107 0.142 0.619
0.607 0.881 0.642
0.107 0.858 0.381
0.893 0.381 0.142
0.607 0.119 0.358
0.605 0.838 0.297
0.605 0.162 0.703
0.105 0.797 0.662
0.895 0.338 0.797
0.895 0.662 0.203
0.395 0.297 0.162
0.395 0.703 0.838
0.105 0.203 0.338
```

Output
Its total energy is -7.26 eV per atom. The theoretical density is 7.440 g/cm³. Its space-group type is P4_2/n.

=====

One value per record, in order, for formation energy from the elements: -471, -289, -477 meV per atom.